[1]
## FeTcBMo (GGA-PBE)

Data for a relaxed structure of FeTcBMo.

The structure in CIF format:
```
data_FeTcBMo
_space_group_name_H-M_alt 'F -4 3 m'
_space_group_IT_number 216
_space_group_name_Hall 'F -4 2 3'
_cell_length_a 5.773
_cell_length_b 5.773
_cell_length_c 5.773
_cell_angle_alpha 90.00
_cell_angle_beta 90.00
_cell_angle_gamma 90.00
loop_
_atom_site_label
_atom_site_type_symbol
_atom_site_fract_x
_atom_site_fract_y
_atom_site_fract_z
Fe1 Fe 0.000 0.000 0.000
Tc1 Tc 0.000 0.000 0.500
B1 B 0.250 0.250 0.750
Mo1 Mo 0.250 0.250 0.250
```

crystal system = cubic
total energy = -8.72 eV per atom


[2]
## FeB2MoW (GGA-PBE)

Data for a relaxed structure of FeB2MoW.

The structure in CIF format:
```
data_FeB2MoW
_space_group_name_H-M_alt 'I m m 2'
_space_group_IT_number 44
_space_group_name_Hall 'I 2 -2'
_cell_length_a 3.154
_cell_length_b 4.593
_cell_length_c 7.155
_cell_angle_alpha 90.00
_cell_angle_beta 90.00
_cell_angle_gamma 90.00
loop_
_atom_site_label
_atom_site_type_symbol
_atom_site_fract_x
_atom_site_fract_y
_atom_site_fract_z
Fe1 Fe 0.000 0.000 0.000
B1 B 0.000 0.204 0.500
Mo1 Mo 0.000 0.500 0.202
W1 W 0.000 0.500 0.797
```

crystal system = orthorhombic
total energy = -9.54 eV per atom


[3]
## FeBMoW (GGA-PBE)

Data for a relaxed structure of FeBMoW.

The structure in CIF format:
```
data_FeBMoW
_space_group_name_H-M_alt 'F -4 3 m'
_space_group_IT_number 216
_space_group_name_Hall 'F -4 2 3'
_cell_length_a 5.864
_cell_length_b 5.864
_cell_length_c 5.864
_cell_angle_alpha 90.00
_cell_angle_beta 90.00
_cell_angle_gamma 90.00
loop_
_atom_site_label
_atom_site_type_symbol
_atom_site_fract_x
_atom_site_fract_y
_atom_site_fract_z
Fe1 Fe 0.000 0.000 0.000
B1 B 0.250 0.250 0.750
Mo1 Mo 0.000 0.000 0.500
W1 W 0.250 0.250 0.250
```

crystal system = cubic
total energy = -9.16 eV per atom


[4]
## YFeBMo (GGA-PBE)

Data for a relaxed structure of YFeBMo.

The structure in CIF format:
```
data_YFeBMo
_space_group_name_H-M_alt 'F -4 3 m'
_space_group_IT_number 216
_space_group_name_Hall 'F -4 2 3'
_cell_length_a 6.103
_cell_length_b 6.103
_cell_length_c 6.103
_cell_angle_alpha 90.00
_cell_angle_beta 90.00
_cell_angle_gamma 90.00
loop_
_atom_site_label
_atom_site_type_symbol
_atom_site_fract_x
_atom_site_fract_y
_atom_site_fract_z
Y1 Y 0.000 0.000 0.000
Fe1 Fe 0.250 0.250 0.750
B1 B 0.000 0.000 0.500
Mo1 Mo 0.250 0.250 0.250
```

crystal system = cubic
total energy = -7.17 eV per atom


[5]
## YFeBMo (GGA-PBE)

Data for a relaxed structure of YFeBMo.

The structure in CIF format:
```
data_YFeBMo
_space_group_name_H-M_alt 'F -4 3 m'
_space_group_IT_number 216
_space_group_name_Hall 'F -4 2 3'
_cell_length_a 6.135
_cell_length_b 6.135
_cell_length_c 6.135
_cell_angle_alpha 90.00
_cell_angle_beta 90.00
_cell_angle_gamma 90.00
loop_
_atom_site_label
_atom_site_type_symbol
_atom_site_fract_x
_atom_site_fract_y
_atom_site_fract_z
Y1 Y 0.000 0.000 0.000
Fe1 Fe 0.000 0.000 0.500
B1 B 0.250 0.250 0.250
Mo1 Mo 0.250 0.250 0.750
```

crystal system = cubic
total energy = -7.24 eV per atom


[6]
## PrNd2Fe2B2N3 (GGA-PBE)

Data for a relaxed structure of PrNd2Fe2B2N3.

The structure in CIF format:
```
data_PrNd2Fe2B2N3
_space_group_name_H-M_alt 'I 4/m m m'
_space_group_IT_number 139
_space_group_name_Hall '-I 4 2'
_cell_length_a 3.598
_cell_length_b 3.598
_cell_length_c 20.873
_cell_angle_alpha 90.00
_cell_angle_beta 90.00
_cell_angle_gamma 90.00
loop_
_atom_site_label
_atom_site_type_symbol
_atom_site_fract_x
_atom_site_fract_y
_atom_site_fract_z
Pr1 Pr 0.000 0.000 0.000
Nd1 Nd 0.000 0.000 0.374
Fe1 Fe 0.000 0.500 0.250
B1 B 0.000 0.000 0.190
N1 N 0.000 0.000 0.120
N2 N 0.000 0.000 0.500
```

crystal system = tetragonal
total energy = -7.88 eV per atom


[7]
## Pr2NdFe2B2N3 (GGA-PBE)

Data for a relaxed structure of Pr2NdFe2B2N3.

The structure in CIF format:
```
data_Pr2NdFe2B2N3
_space_group_name_H-M_alt 'I 4/m m m'
_space_group_IT_number 139
_space_group_name_Hall '-I 4 2'
_cell_length_a 3.610
_cell_length_b 3.610
_cell_length_c 20.805
_cell_angle_alpha 90.00
_cell_angle_beta 90.00
_cell_angle_gamma 90.00
loop_
_atom_site_label
_atom_site_type_symbol
_atom_site_fract_x
_atom_site_fract_y
_atom_site_fract_z
Pr1 Pr 0.000 0.000 0.126
Nd1 Nd 0.000 0.000 0.500
Fe1 Fe 0.000 0.500 0.250
B1 B 0.000 0.000 0.310
N1 N 0.000 0.000 0.000
N2 N 0.000 0.000 0.381
```

crystal system = tetragonal
total energy = -7.87 eV per atom


[8]
## Tb2TmFe2B2N3 (GGA-PBE)

Data for a relaxed structure of Tb2TmFe2B2N3.

The structure in CIF format:
```
data_Tb2TmFe2B2N3
_space_group_name_H-M_alt 'I 4/m m m'
_space_group_IT_number 139
_space_group_name_Hall '-I 4 2'
_cell_length_a 3.443
_cell_length_b 3.443
_cell_length_c 20.281
_cell_angle_alpha 90.00
_cell_angle_beta 90.00
_cell_angle_gamma 90.00
loop_
_atom_site_label
_atom_site_type_symbol
_atom_site_fract_x
_atom_site_fract_y
_atom_site_fract_z
Tb1 Tb 0.000 0.000 0.122
Tm1 Tm 0.000 0.000 0.500
Fe1 Fe 0.000 0.500 0.250
B1 B 0.000 0.000 0.313
N1 N 0.000 0.000 0.000
N2 N 0.000 0.000 0.386
```

crystal system = tetragonal
total energy = -8.05 eV per atom


[9]
## TbYFe2B2N2 (GGA-PBE)

Data for a relaxed structure of TbYFe2B2N2.

The structure in CIF format:
```
data_TbYFe2B2N2
_space_group_name_H-M_alt 'P 4 m m'
_space_group_IT_number 99
_space_group_name_Hall 'P 4 -2'
_cell_length_a 3.457
_cell_length_b 3.457
_cell_length_c 7.728
_cell_angle_alpha 90.00
_cell_angle_beta 90.00
_cell_angle_gamma 90.00
loop_
_atom_site_label
_atom_site_type_symbol
_atom_site_fract_x
_atom_site_fract_y
_atom_site_fract_z
Tb1 Tb 0.000 0.000 0.000
Y1 Y 0.500 0.500 0.331
Fe1 Fe 0.000 0.500 0.666
B1 B 0.000 0.000 0.502
B2 B 0.500 0.500 0.831
N1 N 0.000 0.000 0.309
N2 N 0.500 0.500 0.024
```

crystal system = tetragonal
total energy = -8.23 eV per atom


[10]
## TbY2Fe2B2N3 (GGA-PBE)

Data for a relaxed structure of TbY2Fe2B2N3.

The structure in CIF format:
```
data_TbY2Fe2B2N3
_space_group_name_H-M_alt 'I 4/m m m'
_space_group_IT_number 139
_space_group_name_Hall '-I 4 2'
_cell_length_a 3.456
_cell_length_b 3.456
_cell_length_c 20.438
_cell_angle_alpha 90.00
_cell_angle_beta 90.00
_cell_angle_gamma 90.00
loop_
_atom_site_label
_atom_site_type_symbol
_atom_site_fract_x
_atom_site_fract_y
_atom_site_fract_z
Tb1 Tb 0.000 0.000 0.000
Y1 Y 0.000 0.000 0.378
Fe1 Fe 0.000 0.500 0.250
B1 B 0.000 0.000 0.188
N1 N 0.000 0.000 0.115
N2 N 0.000 0.000 0.500
```

crystal system = tetragonal
total energy = -8.40 eV per atom


[11]
## YTmFe2B2N2 (GGA-PBE)

Data for a relaxed structure of YTmFe2B2N2.

The structure in CIF format:
```
data_YTmFe2B2N2
_space_group_name_H-M_alt 'P 4 m m'
_space_group_IT_number 99
_space_group_name_Hall 'P 4 -2'
_cell_length_a 3.426
_cell_length_b 3.426
_cell_length_c 7.690
_cell_angle_alpha 90.00
_cell_angle_beta 90.00
_cell_angle_gamma 90.00
loop_
_atom_site_label
_atom_site_type_symbol
_atom_site_fract_x
_atom_site_fract_y
_atom_site_fract_z
Y1 Y 0.000 0.000 0.000
Tm1 Tm 0.500 0.500 0.671
Fe1 Fe 0.000 0.500 0.336
B1 B 0.000 0.000 0.501
B2 B 0.500 0.500 0.169
N1 N 0.000 0.000 0.694
N2 N 0.500 0.500 0.975
```

crystal system = tetragonal
total energy = -8.24 eV per atom


[12]
## NbFeB (GGA-PBE)

Data for a relaxed structure of NbFeB.

The structure in CIF format:
```
data_NbFeB
_space_group_name_H-M_alt 'P -6 2 m'
_space_group_IT_number 189
_space_group_name_Hall 'P -6 -2'
_cell_length_a 5.9850
_cell_length_b 5.9850
_cell_length_c 3.2022
_cell_angle_alpha 90.00
_cell_angle_beta 90.00
_cell_angle_gamma 120.00
loop_
_atom_site_label
_atom_site_type_symbol
_atom_site_fract_x
_atom_site_fract_y
_atom_site_fract_z
Nb1 Nb 0.0000 0.5883 0.0000
Fe1 Fe 0.0000 0.2380 0.5000
B1 B 0.0000 0.0000 0.0000
B2 B 0.3333 0.6667 0.5000
```

crystal system = hexagonal
total energy = -8.90 eV per atom


[13]
## NbFeB (GGA-PBE)

Data for a relaxed structure of NbFeB.

The structure in CIF format:
```
data_NbFeB
_space_group_name_H-M_alt 'P 63/m m c'
_space_group_IT_number 194
_space_group_name_Hall '-P 6c 2c'
_cell_length_a 4.1404
_cell_length_b 4.1404
_cell_length_c 4.7550
_cell_angle_alpha 90.00
_cell_angle_beta 90.00
_cell_angle_gamma 120.00
loop_
_atom_site_label
_atom_site_type_symbol
_atom_site_fract_x
_atom_site_fract_y
_atom_site_fract_z
Nb1 Nb 0.3333 0.6667 0.2500
Fe1 Fe 0.0000 0.0000 0.0000
B1 B 0.3333 0.6667 0.7500
```

crystal system = hexagonal
total energy = -8.44 eV per atom